Record 1
The following is a GGA-PBE calculation of a relaxed Cs2ICl crystal, from the Alexandria database.

The structure belongs to space group I-42d (No. 122); the cell edges are 9.371, 9.371 and 10.947 Å and the angles 90.00°, 90.00° and 90.00°. The inequivalent atoms are Cs at (0.214, 0.250, 0.125), I at (0.000, 0.000, 0.500) and Cl at (0.000, 0.000, 0.000).

The energy relative to the elements, uncorrected is -1.68 eV/atom. The total magnetization is 0.00 Bohr magnetons per cell. For the density of states at the Fermi level, the calculation gives 0.000 states/eV/atom.

***

Record 2
The following is a GGA-PBE calculation of a relaxed NiIrAu2N crystal, from the Alexandria database.

The structure belongs to space group P4/mmm (No. 123); the cell edges are 4.473, 4.473 and 3.566 Å and the angles 90.00°, 90.00° and 90.00°. The inequivalent atoms are Ni at (0.000, 0.000, 0.000), Ir at (0.500, 0.500, 0.000), Au at (0.000, 0.500, 0.500) and N at (0.000, 0.000, 0.500).

The energy relative to the elements, uncorrected is 0.80 eV/atom. The total magnetization is 0.58 Bohr magnetons per cell. For the density of states at the Fermi level, the calculation gives 1.041 states/eV/atom.

***

Record 3
The following is a GGA-PBE calculation of a relaxed TlGeN2 crystal, from the Alexandria database.

The structure belongs to space group R-3m (No. 166, hexagonal axes); the cell edges are 3.1232, 3.1232 and 19.3826 Å and the angles 90.00°, 90.00° and 120.00°. The inequivalent atoms are Tl at (0.0000, 0.0000, 0.0000), Ge at (0.0000, 0.0000, 0.5000) and N at (0.0000, 0.0000, 0.1159).

The energy relative to the elements, uncorrected is 0.65 eV/atom. The total magnetization is 0.00 Bohr magnetons per cell. The value obtained for the energy above the most stable polymorph in this dataset is 188 meV per atom. For the density of states at the Fermi level, the calculation gives 0.390 states/eV/atom.

***

Record 4
The following is a GGA-PBE calculation of a relaxed CdAg3As crystal, from the Alexandria database.

The structure belongs to space group Pm-3m (No. 221); the cell edges are 5.026, 5.026 and 5.026 Å and the angles 90.00°, 90.00° and 90.00°. The inequivalent atoms are Cd at (0.000, 0.000, 0.000), Ag at (0.000, 0.500, 0.500) and As at (0.500, 0.500, 0.500).

The calculated formation energy is 275 meV per atom. The total magnetization is 0.00 Bohr magnetons per cell. The value obtained for the energy above the most stable polymorph in this dataset is 0 meV per atom. For the density of states at the Fermi level, the calculation gives 0.225 states/eV/atom.